(1)
Density functional theory data (GGA-PBE) for a relaxed structure of MnVI2.

The calculation puts the density of states at the Fermi level at 22.76 states/eV per cell. The calculation puts the total magnetization at 7.1 μB/f.u. Its formation energy without anion corrections is 671 meV/atom. The value obtained for the energy above the lowest structure with this stoichiometry is 129.6 meV per atom.

Structure (CIF):
```
data_MnVI2
_chemical_formula_sum 'Mn4 V4 I8'
_space_group_name_H-M_alt 'F m -3 m'
_space_group_IT_number 225
_space_group_name_Hall '-F 4 2 3'
_cell_length_a 7.141
_cell_length_b 7.141
_cell_length_c 7.141
_cell_angle_alpha 90.00
_cell_angle_beta 90.00
_cell_angle_gamma 90.00
loop_
_atom_site_label
_atom_site_fract_x
_atom_site_fract_y
_atom_site_fract_z
Mn1 0.000 0.000 0.000
V1 0.000 0.000 0.500
I1 0.250 0.250 0.250
```

(2)
Density functional theory data (GGA-PBE) for a relaxed structure of MnWI2.

The calculation puts the density of states at the Fermi level at 13.02 states/eV per cell. The calculation puts the total magnetization at 0.0 μB/f.u. Its formation energy without anion corrections is 1514 meV/atom. The value obtained for the energy above the lowest structure with this stoichiometry is 64.4 meV per atom.

Structure (CIF):
```
data_MnWI2
_chemical_formula_sum 'Mn4 W4 I8'
_space_group_name_H-M_alt 'I -4 2 d'
_space_group_IT_number 122
_space_group_name_Hall 'I -4 2bw'
_cell_length_a 5.955
_cell_length_b 5.955
_cell_length_c 11.536
_cell_angle_alpha 90.00
_cell_angle_beta 90.00
_cell_angle_gamma 90.00
loop_
_atom_site_label
_atom_site_fract_x
_atom_site_fract_y
_atom_site_fract_z
Mn1 0.000 0.000 0.000
W1 0.000 0.000 0.500
I1 0.229 0.250 0.125
```

(3)
Density functional theory data (GGA-PBE) for a relaxed structure of MnWI2.

The calculation puts the density of states at the Fermi level at 21.57 states/eV per cell. The calculation puts the total magnetization at 0.0 μB/f.u. Its formation energy without anion corrections is 1449 meV/atom. The value obtained for the energy above the lowest structure with this stoichiometry is 0.0 meV per atom.

Structure (CIF):
```
data_MnWI2
_chemical_formula_sum 'Mn4 W4 I8'
_space_group_name_H-M_alt 'F m -3 m'
_space_group_IT_number 225
_space_group_name_Hall '-F 4 2 3'
_cell_length_a 6.664
_cell_length_b 6.664
_cell_length_c 6.664
_cell_angle_alpha 90.00
_cell_angle_beta 90.00
_cell_angle_gamma 90.00
loop_
_atom_site_label
_atom_site_fract_x
_atom_site_fract_y
_atom_site_fract_z
Mn1 0.000 0.000 0.000
W1 0.000 0.000 0.500
I1 0.250 0.250 0.250
```

(4)
Density functional theory data (GGA-PBE) for a relaxed structure of YMn3I9.

The calculation puts the density of states at the Fermi level at 0.00 states/eV per cell. The calculation puts the total magnetization at 15.0 μB/f.u. Its formation energy without anion corrections is -675 meV/atom.

Structure (CIF):
```
data_YMn3I9
_chemical_formula_sum 'Y4 Mn12 I36'
_space_group_name_H-M_alt 'C 1 c 1'
_space_group_IT_number 9
_space_group_name_Hall 'C -2yc'
_cell_length_a 20.360
_cell_length_b 10.398
_cell_length_c 14.646
_cell_angle_alpha 90.00
_cell_angle_beta 128.49
_cell_angle_gamma 90.00
loop_
_atom_site_label
_atom_site_fract_x
_atom_site_fract_y
_atom_site_fract_z
Y1 0.000 0.226 0.000
Mn1 0.139 0.429 0.834
Mn2 0.270 0.066 0.788
Mn3 0.363 0.379 0.675
I1 0.008 0.313 0.806
I2 0.100 0.465 0.136
I3 0.141 0.032 0.077
I4 0.200 0.368 0.481
I5 0.256 0.242 0.914
I6 0.349 0.127 0.447
I7 0.360 0.446 0.308
I8 0.392 0.149 0.780
I9 0.497 0.417 0.681
```

(5)
Density functional theory data (GGA-PBE) for a relaxed structure of YMnI2.

The calculation puts the density of states at the Fermi level at 16.83 states/eV per cell. The calculation puts the total magnetization at 2.0 μB/f.u. Its formation energy without anion corrections is 109 meV/atom. The value obtained for the energy above the lowest structure with this stoichiometry is 244.0 meV per atom.

Structure (CIF):
```
data_YMnI2
_chemical_formula_sum 'Y4 Mn4 I8'
_space_group_name_H-M_alt 'I -4 2 d'
_space_group_IT_number 122
_space_group_name_Hall 'I -4 2bw'
_cell_length_a 6.761
_cell_length_b 6.761
_cell_length_c 12.290
_cell_angle_alpha 90.00
_cell_angle_beta 90.00
_cell_angle_gamma 90.00
loop_
_atom_site_label
_atom_site_fract_x
_atom_site_fract_y
_atom_site_fract_z
Y1 0.000 0.000 0.000
Mn1 0.000 0.000 0.500
I1 0.199 0.250 0.625
```

(6)
Density functional theory data (GGA-PBE) for a relaxed structure of Y4MnI5.

The calculation puts the density of states at the Fermi level at 6.44 states/eV per cell. The calculation puts the total magnetization at 0.0 μB/f.u. Its formation energy without anion corrections is -900 meV/atom.

Structure (CIF):
```
data_Y4MnI5
_chemical_formula_sum 'Y8 Mn2 I10'
_space_group_name_H-M_alt 'C 1 2/m 1'
_space_group_IT_number 12
_space_group_name_Hall '-C 2y'
_cell_length_a 19.460
_cell_length_b 4.016
_cell_length_c 9.407
_cell_angle_alpha 90.00
_cell_angle_beta 103.70
_cell_angle_gamma 90.00
loop_
_atom_site_label
_atom_site_fract_x
_atom_site_fract_y
_atom_site_fract_z
Y1 0.000 0.000 0.223
Y2 0.127 0.500 0.064
Mn1 0.000 0.500 0.000
I1 0.000 0.500 0.500
I2 0.166 0.000 0.324
I3 0.168 0.000 0.842
```

(7)
Density functional theory data (GGA-PBE) for a relaxed structure of Y2MnI.

The calculation puts the density of states at the Fermi level at 6.84 states/eV per cell. The calculation puts the total magnetization at 0.0 μB/f.u. Its formation energy without anion corrections is 448 meV/atom. The value obtained for the energy above the lowest structure with this stoichiometry is 93.1 meV per atom.

Structure (CIF):
```
data_Y2MnI
_chemical_formula_sum 'Y8 Mn4 I4'
_space_group_name_H-M_alt 'I -4 2 d'
_space_group_IT_number 122
_space_group_name_Hall 'I -4 2bw'
_cell_length_a 6.805
_cell_length_b 6.805
_cell_length_c 10.998
_cell_angle_alpha 90.00
_cell_angle_beta 90.00
_cell_angle_gamma 90.00
loop_
_atom_site_label
_atom_site_fract_x
_atom_site_fract_y
_atom_site_fract_z
Y1 0.149 0.250 0.125
Mn1 0.000 0.000 0.000
I1 0.000 0.000 0.500
```

(8)
Density functional theory data (GGA-PBE) for a relaxed structure of YMnI2.

The calculation puts the density of states at the Fermi level at 5.06 states/eV per cell. The calculation puts the total magnetization at 4.0 μB/f.u. Its formation energy without anion corrections is -135 meV/atom. The value obtained for the energy above the lowest structure with this stoichiometry is 0.0 meV per atom.

Structure (CIF):
```
data_YMnI2
_chemical_formula_sum 'Y4 Mn4 I8'
_space_group_name_H-M_alt 'F m -3 m'
_space_group_IT_number 225
_space_group_name_Hall '-F 4 2 3'
_cell_length_a 7.518
_cell_length_b 7.518
_cell_length_c 7.518
_cell_angle_alpha 90.00
_cell_angle_beta 90.00
_cell_angle_gamma 90.00
loop_
_atom_site_label
_atom_site_fract_x
_atom_site_fract_y
_atom_site_fract_z
Y1 0.000 0.000 0.000
Mn1 0.000 0.000 0.500
I1 0.250 0.250 0.250
```

(9)
Density functional theory data (GGA-PBE) for a relaxed structure of YMnI6.

The calculation puts the density of states at the Fermi level at 17.55 states/eV per cell. The calculation puts the total magnetization at 4.0 μB/f.u. Its formation energy without anion corrections is -751 meV/atom.

Structure (CIF):
```
data_YMnI6
_chemical_formula_sum 'Y3 Mn3 I18'
_space_group_name_H-M_alt 'R -3'
_space_group_IT_number 148
_space_group_name_Hall '-R 3'
_cell_length_a 7.3293
_cell_length_b 7.3293
_cell_length_c 19.9292
_cell_angle_alpha 90.00
_cell_angle_beta 90.00
_cell_angle_gamma 120.00
loop_
_atom_site_label
_atom_site_fract_x
_atom_site_fract_y
_atom_site_fract_z
Y1 0.0000 0.0000 0.0000
Mn1 0.0000 0.0000 0.5000
I1 0.0010 0.6840 0.4194
```

(10)
Density functional theory data (GGA-PBE) for a relaxed structure of Y2MnI.

The calculation puts the density of states at the Fermi level at 18.67 states/eV per cell. The calculation puts the total magnetization at 0.0 μB/f.u. Its formation energy without anion corrections is 355 meV/atom. The value obtained for the energy above the lowest structure with this stoichiometry is 0.0 meV per atom.

Structure (CIF):
```
data_Y2MnI
_chemical_formula_sum 'Y8 Mn4 I4'
_space_group_name_H-M_alt 'F m -3 m'
_space_group_IT_number 225
_space_group_name_Hall '-F 4 2 3'
_cell_length_a 7.282
_cell_length_b 7.282
_cell_length_c 7.282
_cell_angle_alpha 90.00
_cell_angle_beta 90.00
_cell_angle_gamma 90.00
loop_
_atom_site_label
_atom_site_fract_x
_atom_site_fract_y
_atom_site_fract_z
Y1 0.250 0.250 0.250
Mn1 0.000 0.000 0.000
I1 0.000 0.000 0.500
```

(11)
Density functional theory data (GGA-PBE) for a relaxed structure of YMnI.

The calculation puts the density of states at the Fermi level at 9.11 states/eV per cell. The calculation puts the total magnetization at 0.0 μB/f.u. Its formation energy without anion corrections is -654 meV/atom.

Structure (CIF):
```
data_YMnI
_chemical_formula_sum 'Y6 Mn6 I6'
_space_group_name_H-M_alt 'R -3 m'
_space_group_IT_number 166
_space_group_name_Hall '-R 3 2"'
_cell_length_a 3.8919
_cell_length_b 3.8919
_cell_length_c 38.1745
_cell_angle_alpha 90.00
_cell_angle_beta 90.00
_cell_angle_gamma 120.00
loop_
_atom_site_label
_atom_site_fract_x
_atom_site_fract_y
_atom_site_fract_z
Y1 0.0000 0.0000 0.0543
Mn1 0.0000 0.0000 0.3350
I1 0.0000 0.0000 0.2221
```

(12)
Density functional theory data (GGA-PBE) for a relaxed structure of Y3MnI.

The calculation puts the density of states at the Fermi level at 3.68 states/eV per cell. The calculation puts the total magnetization at 4.2 μB/f.u. Its formation energy without anion corrections is 540 meV/atom.

Structure (CIF):
```
data_Y3MnI
_chemical_formula_sum 'Y3 Mn1 I1'
_space_group_name_H-M_alt 'P m -3 m'
_space_group_IT_number 221
_space_group_name_Hall '-P 4 2 3'
_cell_length_a 5.590
_cell_length_b 5.590
_cell_length_c 5.590
_cell_angle_alpha 90.00
_cell_angle_beta 90.00
_cell_angle_gamma 90.00
loop_
_atom_site_label
_atom_site_fract_x
_atom_site_fract_y
_atom_site_fract_z
Y1 0.000 0.000 0.500
Mn1 0.500 0.500 0.500
I1 0.000 0.000 0.000
```